[1]
Compound: ZnCl
Source: Alexandria
Functional: PBE
Structure: optimized geometry

Values from the calculation:
Space-group type: P6_3/m
Formation energy without anion corrections, eV/atom: -0.641
Electronic total energy, eV for the cell shown: -26.41

Cell lengths 10.429, 10.429, 3.381 Å; angles 90.00, 90.00, 120.00 degrees
Element x y z (fractional)
Zn 0.605 0.024 0.750
Zn 0.418 0.395 0.750
Zn 0.024 0.418 0.250
Zn 0.395 0.976 0.250
Zn 0.582 0.605 0.250
Zn 0.976 0.582 0.750
Cl 0.631 0.800 0.750
Cl 0.369 0.200 0.250
Cl 0.831 0.631 0.250
Cl 0.200 0.831 0.750
Cl 0.169 0.369 0.750
Cl 0.800 0.169 0.250



[2]
Compound: ZrZn2Cl
Source: Alexandria
Functional: PBE
Structure: optimized geometry

Values from the calculation:
Space-group type: I4/mmm
Formation energy without anion corrections, eV/atom: -0.161
Electronic total energy, eV for the cell shown: -13.59

Cell lengths 5.818, 5.818, 5.818 Å; angles 142.74, 142.74, 53.72 degrees
Element x y z (fractional)
Zn 0.000 0.000 0.000
Zn 0.500 0.500 0.000
Cl 0.750 0.250 0.500
Zr 0.250 0.750 0.500



[3]
Compound: ZrZnCl2
Source: Alexandria
Functional: PBE
Structure: optimized geometry

Values from the calculation:
Space-group type: R3m
Formation energy without anion corrections, eV/atom: -0.932
Electronic total energy, eV for the cell shown: -17.24

Cell lengths 9.583, 9.583, 9.583 Å; angles 20.22, 20.22, 20.22 degrees
Element x y z (fractional)
Cl 0.024 0.024 0.024
Cl 0.222 0.222 0.222
Zn 0.502 0.502 0.502
Zr 0.753 0.753 0.753